# 1
# CaCu2Ag2

Crystalline CaCu2Ag2 at its relaxed geometry (GGA-PBEsol, Alexandria).

Cell lengths 4.036, 4.036, 6.251 Å; angles 108.83, 108.83, 90.00 degrees
Atoms (fractional coordinates):
Ca 0.000 0.000 0.000
Cu 0.396 0.396 0.793
Cu 0.604 0.604 0.207
Ag 0.250 0.750 0.500
Ag 0.750 0.250 0.500

formation energy from the elements = -0.043 eV per atom

---

# 2
# CaSnAs2Se

Crystalline CaSnAs2Se at its relaxed geometry (GGA-PBEsol, Alexandria).

Cell lengths 5.244, 5.244, 5.241 Å; angles 90.00, 90.00, 90.00 degrees
Atoms (fractional coordinates):
As 0.000 0.500 0.000
As 0.500 0.000 0.000
Ca 0.000 0.000 0.000
Sn 0.500 0.500 0.500
Se 0.000 0.000 0.500

energy relative to the lowest polymorph listed for this composition = 396.9 meV per atom

---

# 3
# K4P4H7Ru2O18

Crystalline K4P4H7Ru2O18 at its relaxed geometry (GGA-PBEsol, Alexandria).

Cell lengths 9.011, 9.356, 10.279 Å; angles 90.00, 90.73, 90.00 degrees
Last column: magnetic moment on the atom in μB.
Atoms (fractional coordinates):
K 0.127 0.218 0.348  0.00
K 0.141 0.382 0.780  0.00
K 0.359 0.882 0.720  0.00
K 0.373 0.718 0.152  0.00
K 0.627 0.282 0.848  0.00
K 0.641 0.118 0.280  0.00
K 0.859 0.618 0.220  0.00
K 0.873 0.782 0.652  0.00
P 0.106 0.714 0.928  0.00
P 0.216 0.637 0.463  0.00
P 0.284 0.137 0.037  0.00
P 0.394 0.214 0.572  0.00
P 0.606 0.786 0.428  0.00
P 0.716 0.863 0.963  0.00
P 0.784 0.363 0.537  0.00
P 0.894 0.286 0.072  0.00
H 0.000 0.500 0.500  0.00
H 0.087 0.099 0.634  0.00
H 0.094 0.876 0.366  0.00
H 0.125 0.358 0.097  0.00
H 0.375 0.858 0.403  0.00
H 0.406 0.376 0.134  0.00
H 0.413 0.599 0.866  0.00
H 0.500 0.000 0.000  0.00
H 0.587 0.401 0.134  0.00
H 0.594 0.624 0.866  0.00
H 0.625 0.142 0.597  0.00
H 0.875 0.642 0.903  0.00
H 0.906 0.124 0.634  0.00
H 0.913 0.901 0.366  0.00
Ru 0.001 0.034 0.892  1.32
Ru 0.999 0.966 0.108  1.32
Ru 0.499 0.534 0.608  1.32
Ru 0.501 0.466 0.392  1.32
O 0.009 0.934 0.328  0.00
O 0.016 0.398 0.115  0.00
O 0.046 0.615 0.468  0.00
O 0.076 0.766 0.070  0.03
O 0.089 0.845 0.835  0.03
O 0.213 0.108 0.900  0.03
O 0.213 0.033 0.136  0.03
O 0.237 0.795 0.423  0.01
O 0.255 0.642 0.918  0.00
O 0.245 0.142 0.582  0.00
O 0.263 0.295 0.077  0.01
O 0.287 0.608 0.600  0.03
O 0.287 0.533 0.364  0.03
O 0.411 0.345 0.665  0.03
O 0.424 0.266 0.430  0.03
O 0.454 0.115 0.032  0.00
O 0.484 0.898 0.385  0.00
O 0.491 0.434 0.172  0.00
O 0.509 0.566 0.828  0.00
O 0.516 0.102 0.615  0.00
O 0.546 0.885 0.968  0.00
O 0.576 0.734 0.570  0.03
O 0.589 0.655 0.335  0.03
O 0.713 0.467 0.636  0.03
O 0.713 0.392 0.400  0.03
O 0.737 0.705 0.923  0.01
O 0.755 0.858 0.418  0.00
O 0.745 0.358 0.082  0.00
O 0.763 0.205 0.577  0.01
O 0.787 0.967 0.864  0.03
O 0.787 0.892 0.100  0.03
O 0.911 0.155 0.165  0.03
O 0.924 0.234 0.930  0.03
O 0.954 0.385 0.532  0.00
O 0.984 0.602 0.885  0.00
O 0.991 0.066 0.672  0.00

E_tot = -6.477 eV/atom

---

| no. | magnetic moment (μB per cell) |
| --- | --- |
| 1 | 0.00 |
| 2 | 0.00 |
| 3 | 6.12 |